(1)
This record from Alexandria describes a relaxed structure of VSeBr2O. The functional is PBE with a Hubbard U.

The structure belongs to space group P4/mmm (No. 123); the cell edges are 5.116, 5.116 and 4.882 Å and the angles 90.00°, 90.00° and 90.00°. The asymmetric unit holds V at (0.000, 0.000, 0.000), Se at (0.000, 0.000, 0.500), Br at (0.000, 0.500, 0.000) and O at (0.500, 0.500, 0.500).

(2)
This record from Alexandria describes a relaxed structure of VSeBr2O. The functional is PBE with a Hubbard U.

The structure belongs to space group P4/mmm (No. 123); the cell edges are 4.745, 4.745 and 4.484 Å and the angles 90.00°, 90.00° and 90.00°. The asymmetric unit holds V at (0.000, 0.000, 0.000), Se at (0.500, 0.500, 0.000), Br at (0.000, 0.500, 0.500) and O at (0.500, 0.500, 0.500).

(3)
This record from Alexandria describes a relaxed structure of WSe2BrO. The functional is PBE with a Hubbard U.

The structure belongs to space group P4/mmm (No. 123); the cell edges are 4.172, 4.172 and 6.142 Å and the angles 90.00°, 90.00° and 90.00°. The asymmetric unit holds W at (0.000, 0.000, 0.000), Se at (0.000, 0.500, 0.500), Br at (0.500, 0.500, 0.000) and O at (0.500, 0.500, 0.500).

(4)
This record from Alexandria describes a relaxed structure of WSeBr2O. The functional is PBE with a Hubbard U.

The structure belongs to space group P4/mmm (No. 123); the cell edges are 4.861, 4.861 and 4.448 Å and the angles 90.00°, 90.00° and 90.00°. The asymmetric unit holds W at (0.000, 0.000, 0.000), Se at (0.500, 0.500, 0.000), Br at (0.000, 0.500, 0.500) and O at (0.500, 0.500, 0.500).

Number 1: total DFT energy (no corrections) -17.1 eV/cell, V 25.6 Å³/atom, energy above the lowest structure with this stoichiometry 0.0 meV per atom. Number 2: total DFT energy (no corrections) -15.1 eV/cell, V 20.2 Å³/atom, energy above the lowest structure with this stoichiometry 388.3 meV per atom. Number 3: total DFT energy (no corrections) -17.9 eV/cell, V 21.4 Å³/atom, energy above the lowest structure with this stoichiometry 0.0 meV per atom. Number 4: total DFT energy (no corrections) -13.8 eV/cell, V 21.0 Å³/atom, energy above the lowest structure with this stoichiometry 378.2 meV per atom.